[1]
LiMoP2O: relaxed, PBE with a Hubbard U.

Cell and atoms, written as POSCAR:
```
LiMoP2O
1.0
4.4838 0.0000 0.0000
0.0000 4.4838 0.0000
0.0000 0.0000 3.2629
Li Mo P O
1 1 2 1
Direct
0.0000 0.0000 0.0000
0.5000 0.5000 0.5000
0.0000 0.5000 0.0000
0.5000 0.0000 0.0000
0.0000 0.0000 0.5000
```

For the density, the calculation gives 4.58 g/cm3. As for the total energy: -4.204 eV/atom. For the energy relative to the lowest polymorph listed for this composition, the calculation gives 4.27 eV/f.u.

=====

[2]
Li3MoP2O9: relaxed, PBE with a Hubbard U.

Cell and atoms, written as POSCAR:
```
Li3MoP2O9
1.0
7.1652 0.0000 0.0000
0.3444 7.1940 0.0000
3.4445 0.0293 7.2114
Li Mo P O
6 2 4 18
Direct
0.0000 0.0000 0.0000
0.0561 0.2542 0.3100
0.2193 0.4906 0.6389
0.5074 0.4077 0.0649
0.6073 0.0943 0.5699
0.8249 0.7475 0.8204
0.0555 0.7564 0.3132
0.5496 0.7489 0.3237
0.1627 0.0479 0.5738
0.4418 0.9957 0.0125
0.6763 0.5076 0.6218
0.9333 0.4544 0.0668
0.0149 0.5544 0.8816
0.0431 0.9468 0.7548
0.0453 0.5226 0.1895
0.0661 0.9940 0.4347
0.1720 0.2560 0.5703
0.2349 0.8769 0.0776
0.2945 0.6467 0.3468
0.3750 0.1785 0.1160
0.3991 0.9678 0.4827
0.5121 0.6063 0.5579
0.5485 0.9971 0.8048
0.5887 0.8731 0.0804
0.5897 0.5121 0.8296
0.6943 0.5189 0.1730
0.7506 0.3239 0.5209
0.8069 0.8555 0.2878
0.8664 0.6464 0.5532
0.9529 0.2456 0.0760
```

For the density, the calculation gives 2.88 g/cm3. As for the total energy: -6.686 eV/atom.

=====

Computed values of total magnetic moment (unit: Bohr magnetons per cell) for the preceding records, in sequence: 0.00, 1.99.